(1)
VASP calculation (PBE-GGA) on a geometry-optimized NaUBi2Se6 structure.

Cell and atoms, written as POSCAR:
```
NaUBi2Se6
1.0
3.6676 2.1175 6.5695
-3.6676 2.1175 6.5695
0.0000 -4.2350 6.5695
Na U Bi Se
1 1 2 6
direct
0.0000 0.0000 0.0000
0.4901 0.4901 0.4901
0.3000 0.3000 0.3000
0.8073 0.8073 0.8073
0.1070 0.6986 0.4022
0.2337 0.5949 0.8684
0.4022 0.1070 0.6986
0.5949 0.8684 0.2337
0.6986 0.4022 0.1070
0.8684 0.2337 0.5949
```

Calculated values
**SG**: R3
**D(E_F)**: 0.02 states/eV per atom
**Uncorrected formation energy**: -693 kJ/mol of formula units

=====

(2)
VASP calculation (PBE-GGA) on a geometry-optimized Y2ZnSi3Au4 structure.

Cell and atoms, written as POSCAR:
```
Y2ZnSi3Au4
1.0
4.2228 0.0000 0.0000
0.0000 4.2228 0.0000
0.0000 0.0000 10.6685
Y Zn Si Au
2 1 3 4
direct
0.0000 0.5000 0.2402
0.5000 0.0000 0.7598
0.0000 0.0000 0.5000
0.0000 0.5000 0.8620
0.5000 0.0000 0.1380
0.5000 0.5000 0.5000
0.0000 0.0000 0.0000
0.0000 0.5000 0.6372
0.5000 0.0000 0.3628
0.5000 0.5000 0.0000
```

Calculated values
**SG**: P-4m2
**D(E_F)**: 0.38 states/eV per atom
**Uncorrected formation energy**: -542 kJ/mol of formula units

=====

(3)
VASP calculation (PBE-GGA) on a geometry-optimized NiH2S8 structure.

Cell and atoms, written as POSCAR:
```
NiH2S8
1.0
13.0210 -1.7053 0.0000
13.0210 1.7053 0.0000
-0.5036 0.0000 4.4116
Ni H S
1 2 8
direct
0.0000 0.0000 0.0000
0.2228 0.2228 0.1163
0.7772 0.7772 0.8837
0.0811 0.0811 0.8433
0.1904 0.1904 0.3336
0.3674 0.3674 0.9182
0.4749 0.4749 0.6614
0.5251 0.5251 0.3386
0.6326 0.6326 0.0818
0.8096 0.8096 0.6664
0.9189 0.9189 0.1567
```

Calculated values
**SG**: C2/m
**D(E_F)**: 0.25 states/eV per atom
**Energy**: -4.044 eV per atom

=====

Q: Which value of D(E_F) does entry 2 give?
A: 0.38 states/eV per atom

=====

Q: Among the records above, which one has the lowest D(E_F)?
A: NaUBi2Se6